[1]
The following is a DFT calculation (GGA-PBE) of an optimized crystal structure of Li7Mg3Al.

```
data_Li7Mg3Al
_symmetry_space_group_name_H-M 'P 1'
_symmetry_Int_Tables_number 1
_cell_length_a 7.298
_cell_length_b 6.020
_cell_length_c 6.020
_cell_angle_alpha 120.00
_cell_angle_beta 90.00
_cell_angle_gamma 90.00
loop_
_symmetry_equiv_pos_as_xyz
'x,y,z'
loop_
_atom_site_label
_atom_site_type_symbol
_atom_site_fract_x
_atom_site_fract_y
_atom_site_fract_z
Li1 Li 0.122 0.169 0.831
Li2 Li 0.122 0.169 0.338
Li3 Li 0.116 0.667 0.333
Li4 Li 0.449 0.836 0.164
Li5 Li 0.449 0.329 0.164
Li6 Li 0.449 0.836 0.671
Li7 Li 0.122 0.662 0.831
Mg1 Mg 0.781 0.499 0.501
Mg2 Mg 0.781 0.499 0.998
Mg3 Mg 0.781 0.002 0.501
Al1 Al 0.442 0.333 0.667
```

Values from the calculation:
As for the space group: P3m1 (156). The formation energy is 0.0295 eV per atom.

---

[2]
The following is a DFT calculation (GGA-PBE) of an optimized crystal structure of LiMg2Al6.

```
data_LiMg2Al6
_symmetry_space_group_name_H-M 'P 1'
_symmetry_Int_Tables_number 1
_cell_length_a 8.051
_cell_length_b 8.051
_cell_length_c 2.962
_cell_angle_alpha 90.00
_cell_angle_beta 90.00
_cell_angle_gamma 120.00
loop_
_symmetry_equiv_pos_as_xyz
'x,y,z'
loop_
_atom_site_label
_atom_site_type_symbol
_atom_site_fract_x
_atom_site_fract_y
_atom_site_fract_z
Li1 Li 0.000 0.000 0.000
Mg1 Mg 0.333 0.667 0.000
Mg2 Mg 0.667 0.333 0.000
Al1 Al 0.669 0.000 0.500
Al2 Al 0.000 0.669 0.500
Al3 Al 0.331 0.000 0.500
Al4 Al 0.669 0.669 0.500
Al5 Al 0.000 0.331 0.500
Al6 Al 0.331 0.331 0.500
```

Values from the calculation:
As for the space group: P6/mmm (191). The formation energy is 0.0043 eV per atom.

---

[3]
The following is a DFT calculation (GGA-PBE) of an optimized crystal structure of LiMgAl2.

```
data_LiMgAl2
_symmetry_space_group_name_H-M 'P 1'
_symmetry_Int_Tables_number 1
_cell_length_a 2.906
_cell_length_b 5.181
_cell_length_c 5.898
_cell_angle_alpha 54.84
_cell_angle_beta 90.00
_cell_angle_gamma 90.00
loop_
_symmetry_equiv_pos_as_xyz
'x,y,z'
loop_
_atom_site_label
_atom_site_type_symbol
_atom_site_fract_x
_atom_site_fract_y
_atom_site_fract_z
Mg1 Mg 0.000 0.000 0.500
Al1 Al 0.000 0.000 0.000
Al2 Al 0.500 0.500 0.000
Li1 Li 0.500 0.500 0.500
```

Values from the calculation:
As for the space group: P2/m (10). The formation energy is -0.0210 eV per atom.

---

[4]
The following is a DFT calculation (GGA-PBE) of an optimized crystal structure of Li7Mg2Al2.

```
data_Li7Mg2Al2
_symmetry_space_group_name_H-M 'P 1'
_symmetry_Int_Tables_number 1
_cell_length_a 4.911
_cell_length_b 6.719
_cell_length_c 6.719
_cell_angle_alpha 91.94
_cell_angle_beta 104.78
_cell_angle_gamma 104.78
loop_
_symmetry_equiv_pos_as_xyz
'x,y,z'
loop_
_atom_site_label
_atom_site_type_symbol
_atom_site_fract_x
_atom_site_fract_y
_atom_site_fract_z
Li1 Li 0.661 0.935 0.405
Li2 Li 0.339 0.595 0.065
Li3 Li 0.339 0.065 0.595
Li4 Li 0.661 0.405 0.935
Li5 Li 0.500 0.000 0.000
Li6 Li 0.284 0.581 0.581
Li7 Li 0.716 0.419 0.419
Mg1 Mg 0.102 0.202 0.202
Mg2 Mg 0.898 0.798 0.798
Al1 Al 0.000 0.236 0.764
Al2 Al 0.000 0.764 0.236
```

Values from the calculation:
As for the space group: C2/m (12). The formation energy is -0.0306 eV per atom.

---

[5]
The following is a DFT calculation (GGA-PBE) of an optimized crystal structure of Li3Mg2Al.

```
data_Li3Mg2Al
_symmetry_space_group_name_H-M 'P 1'
_symmetry_Int_Tables_number 1
_cell_length_a 4.681
_cell_length_b 7.358
_cell_length_c 6.689
_cell_angle_alpha 90.00
_cell_angle_beta 90.00
_cell_angle_gamma 72.21
loop_
_symmetry_equiv_pos_as_xyz
'x,y,z'
loop_
_atom_site_label
_atom_site_type_symbol
_atom_site_fract_x
_atom_site_fract_y
_atom_site_fract_z
Li1 Li 0.832 0.342 0.769
Li2 Li 0.500 0.000 0.234
Li3 Li 0.168 0.658 0.231
Li4 Li 0.832 0.342 0.231
Li5 Li 0.168 0.658 0.769
Li6 Li 0.500 0.000 0.766
Mg1 Mg 0.000 0.000 0.000
Mg2 Mg 0.000 0.000 0.500
Mg3 Mg 0.338 0.329 0.500
Mg4 Mg 0.662 0.671 0.500
Al1 Al 0.335 0.334 0.000
Al2 Al 0.665 0.666 0.000
```

Values from the calculation:
As for the space group: P2/m (10). The formation energy is -0.0818 eV per atom.

---

[6]
The following is a DFT calculation (GGA-PBE) of an optimized crystal structure of LiMg6Al.

```
data_LiMg6Al
_symmetry_space_group_name_H-M 'P 1'
_symmetry_Int_Tables_number 1
_cell_length_a 5.102
_cell_length_b 5.102
_cell_length_c 7.986
_cell_angle_alpha 76.84
_cell_angle_beta 76.84
_cell_angle_gamma 74.40
loop_
_symmetry_equiv_pos_as_xyz
'x,y,z'
loop_
_atom_site_label
_atom_site_type_symbol
_atom_site_fract_x
_atom_site_fract_y
_atom_site_fract_z
Li1 Li 0.000 0.000 0.000
Mg1 Mg 0.063 0.559 0.303
Mg2 Mg 0.559 0.063 0.303
Mg3 Mg 0.441 0.937 0.697
Mg4 Mg 0.937 0.441 0.697
Mg5 Mg 0.355 0.355 0.931
Mg6 Mg 0.645 0.645 0.069
Al1 Al 0.500 0.500 0.500
```

Values from the calculation:
As for the space group: C2/m (12). The formation energy is 0.1303 eV per atom.

---

[7]
The following is a DFT calculation (GGA-PBE) of an optimized crystal structure of Li2MgAl.

```
data_Li2MgAl
_symmetry_space_group_name_H-M 'P 1'
_symmetry_Int_Tables_number 1
_cell_length_a 4.667
_cell_length_b 2.846
_cell_length_c 5.595
_cell_angle_alpha 78.73
_cell_angle_beta 90.00
_cell_angle_gamma 90.00
loop_
_symmetry_equiv_pos_as_xyz
'x,y,z'
loop_
_atom_site_label
_atom_site_type_symbol
_atom_site_fract_x
_atom_site_fract_y
_atom_site_fract_z
Mg1 Mg 0.500 0.250 0.250
Al1 Al 0.500 0.750 0.750
Li1 Li 0.000 0.014 0.982
Li2 Li 0.000 0.486 0.518
```

Values from the calculation:
As for the space group: P2/m (10). The formation energy is -0.0682 eV per atom.

---

[8]
The following is a DFT calculation (GGA-PBE) of an optimized crystal structure of Li4Mg5Al.

```
data_Li4Mg5Al
_symmetry_space_group_name_H-M 'P 1'
_symmetry_Int_Tables_number 1
_cell_length_a 5.436
_cell_length_b 7.142
_cell_length_c 7.142
_cell_angle_alpha 81.67
_cell_angle_beta 67.63
_cell_angle_gamma 67.63
loop_
_symmetry_equiv_pos_as_xyz
'x,y,z'
loop_
_atom_site_label
_atom_site_type_symbol
_atom_site_fract_x
_atom_site_fract_y
_atom_site_fract_z
Li1 Li 0.433 0.292 0.708
Li2 Li 0.725 0.708 0.708
Li3 Li 0.141 0.292 0.292
Li4 Li 0.433 0.708 0.292
Mg1 Mg 0.783 0.381 0.000
Mg2 Mg 0.164 0.000 0.619
Mg3 Mg 0.783 0.000 0.381
Mg4 Mg 0.164 0.619 0.000
Mg5 Mg 0.685 0.000 0.000
Al1 Al 0.199 0.000 0.000
```

Values from the calculation:
As for the space group: I4mm (107). The formation energy is 0.0948 eV per atom.

---

[9]
The following is a DFT calculation (GGA-PBE) of an optimized crystal structure of LiMgAl2.

```
data_LiMgAl2
_symmetry_space_group_name_H-M 'P 1'
_symmetry_Int_Tables_number 1
_cell_length_a 7.593
_cell_length_b 7.593
_cell_length_c 6.034
_cell_angle_alpha 51.02
_cell_angle_beta 51.02
_cell_angle_gamma 90.00
loop_
_symmetry_equiv_pos_as_xyz
'x,y,z'
loop_
_atom_site_label
_atom_site_type_symbol
_atom_site_fract_x
_atom_site_fract_y
_atom_site_fract_z
Mg1 Mg 0.000 0.000 0.000
Mg2 Mg 0.750 0.250 0.500
Al1 Al 0.605 0.125 0.250
Al2 Al 0.145 0.625 0.250
Al3 Al 0.375 0.395 0.750
Al4 Al 0.875 0.855 0.750
Li1 Li 0.500 0.500 0.000
Li2 Li 0.250 0.750 0.500
```

Values from the calculation:
As for the space group: I-42d (122). The formation energy is 0.2736 eV per atom.

---

[10]
The following is a DFT calculation (GGA-PBE) of an optimized crystal structure of Li3Mg2Al.

```
data_Li3Mg2Al
_symmetry_space_group_name_H-M 'P 1'
_symmetry_Int_Tables_number 1
_cell_length_a 5.190
_cell_length_b 7.609
_cell_length_c 7.609
_cell_angle_alpha 120.60
_cell_angle_beta 90.00
_cell_angle_gamma 90.00
loop_
_symmetry_equiv_pos_as_xyz
'x,y,z'
loop_
_atom_site_label
_atom_site_type_symbol
_atom_site_fract_x
_atom_site_fract_y
_atom_site_fract_z
Li1 Li 0.000 0.179 0.821
Li2 Li 0.500 0.179 0.821
Li3 Li 0.250 0.718 0.718
Li4 Li 0.750 0.282 0.282
Li5 Li 0.500 0.821 0.179
Li6 Li 0.000 0.821 0.179
Mg1 Mg 0.750 0.495 0.748
Mg2 Mg 0.250 0.252 0.505
Mg3 Mg 0.250 0.505 0.252
Mg4 Mg 0.750 0.748 0.495
Al1 Al 0.250 0.077 0.077
Al2 Al 0.750 0.923 0.923
```

Values from the calculation:
As for the space group: Cmcm (63). The formation energy is 0.0469 eV per atom.

---

[11]
The following is a DFT calculation (GGA-PBE) of an optimized crystal structure of LiMgAl2.

```
data_LiMgAl2
_symmetry_space_group_name_H-M 'P 1'
_symmetry_Int_Tables_number 1
_cell_length_a 4.223
_cell_length_b 2.902
_cell_length_c 6.550
_cell_angle_alpha 63.32
_cell_angle_beta 90.00
_cell_angle_gamma 90.00
loop_
_symmetry_equiv_pos_as_xyz
'x,y,z'
loop_
_atom_site_label
_atom_site_type_symbol
_atom_site_fract_x
_atom_site_fract_y
_atom_site_fract_z
Mg1 Mg 0.500 0.750 0.750
Al1 Al 0.000 0.989 0.011
Al2 Al 0.000 0.511 0.489
Li1 Li 0.500 0.250 0.250
```

Values from the calculation:
As for the space group: P2/m (10). The formation energy is -0.0587 eV per atom.

---

[12]
The following is a DFT calculation (GGA-PBE) of an optimized crystal structure of Li3Mg3Al8.

```
data_Li3Mg3Al8
_symmetry_space_group_name_H-M 'P 1'
_symmetry_Int_Tables_number 1
_cell_length_a 4.543
_cell_length_b 8.118
_cell_length_c 8.118
_cell_angle_alpha 65.54
_cell_angle_beta 73.75
_cell_angle_gamma 73.75
loop_
_symmetry_equiv_pos_as_xyz
'x,y,z'
loop_
_atom_site_label
_atom_site_type_symbol
_atom_site_fract_x
_atom_site_fract_y
_atom_site_fract_z
Li1 Li 0.000 0.500 0.500
Li2 Li 0.000 0.797 0.203
Li3 Li 0.000 0.203 0.797
Mg1 Mg 0.500 0.000 0.000
Mg2 Mg 0.821 0.179 0.179
Mg3 Mg 0.179 0.821 0.821
Al1 Al 0.781 0.878 0.559
Al2 Al 0.219 0.122 0.441
Al3 Al 0.219 0.441 0.122
Al4 Al 0.781 0.559 0.878
Al5 Al 0.604 0.233 0.560
Al6 Al 0.396 0.767 0.440
Al7 Al 0.396 0.440 0.767
Al8 Al 0.604 0.560 0.233
```

Values from the calculation:
As for the space group: Immm (71). The formation energy is -0.0096 eV per atom.

---

Copy entry 2 word for word.
The following is a DFT calculation (GGA-PBE) of an optimized crystal structure of LiMg2Al6.

```
data_LiMg2Al6
_symmetry_space_group_name_H-M 'P 1'
_symmetry_Int_Tables_number 1
_cell_length_a 8.051
_cell_length_b 8.051
_cell_length_c 2.962
_cell_angle_alpha 90.00
_cell_angle_beta 90.00
_cell_angle_gamma 120.00
loop_
_symmetry_equiv_pos_as_xyz
'x,y,z'
loop_
_atom_site_label
_atom_site_type_symbol
_atom_site_fract_x
_atom_site_fract_y
_atom_site_fract_z
Li1 Li 0.000 0.000 0.000
Mg1 Mg 0.333 0.667 0.000
Mg2 Mg 0.667 0.333 0.000
Al1 Al 0.669 0.000 0.500
Al2 Al 0.000 0.669 0.500
Al3 Al 0.331 0.000 0.500
Al4 Al 0.669 0.669 0.500
Al5 Al 0.000 0.331 0.500
Al6 Al 0.331 0.331 0.500
```

Values from the calculation:
As for the space group: P6/mmm (191). The formation energy is 0.0043 eV per atom.